[1]
! PmNd2CuSe5 (PBE, relaxed); values from VASP
! Total magnetic moment = 0.000 μB/cell
! ΔE_f (raw) = -1.578 eV per atom
! Uncorrected energy = -5.556 eV per atom
! Symmetry = No. 36
&SYSTEM
  ibrav = 0, nat = 18, ntyp = 4
/
ATOMIC_SPECIES
Pm 145.00 Pm.upf
Nd 144.24 Nd.upf
Cu 63.55 Cu.upf
Se 78.96 Se.upf
CELL_PARAMETERS angstrom
2.050 -8.999 0.000
2.050 8.999 0.000
0.000 0.000 12.192
ATOMIC_POSITIONS crystal
Pm 0.194 0.806 0.500
Pm 0.806 0.194 0.000
Nd 0.107 0.893 0.175
Nd 0.119 0.881 0.800
Nd 0.881 0.119 0.300
Nd 0.893 0.107 0.675
Cu 0.437 0.563 0.944
Cu 0.563 0.437 0.444
Se 0.041 0.959 0.551
Se 0.290 0.710 0.170
Se 0.317 0.683 0.832
Se 0.359 0.641 0.491
Se 0.499 0.501 0.269
Se 0.501 0.499 0.769
Se 0.641 0.359 0.991
Se 0.683 0.317 0.332
Se 0.710 0.290 0.670
Se 0.959 0.041 0.051

---

[2]
! PmNd2Cu2Sn2 (PBE, relaxed); values from VASP
! Total magnetic moment = 0.000 μB/cell
! Uncorrected energy = -4.768 eV per atom
! Calculated formation energy = -0.4131 eV per atom
! Symmetry = No. 166
&SYSTEM
  ibrav = 0, nat = 7, ntyp = 4
/
ATOMIC_SPECIES
Pm 145.00 Pm.upf
Nd 144.24 Nd.upf
Cu 63.55 Cu.upf
Sn 118.71 Sn.upf
CELL_PARAMETERS angstrom
2.305 1.331 9.656
-2.305 1.331 9.656
0.000 -2.662 9.656
ATOMIC_POSITIONS crystal
Pm 0.000 0.000 0.000
Nd 0.128 0.128 0.128
Nd 0.872 0.872 0.872
Cu 0.403 0.403 0.403
Cu 0.597 0.597 0.597
Sn 0.266 0.266 0.266
Sn 0.734 0.734 0.734

---

[3]
! PmNdCuSn (PBE, relaxed); values from VASP
! Total magnetic moment = 0.002 μB/cell
! Uncorrected energy = -4.826 eV per atom
! Calculated formation energy = -0.4212 eV per atom
! Symmetry = No. 216
&SYSTEM
  ibrav = 0, nat = 16, ntyp = 4
/
ATOMIC_SPECIES
Pm 145.00 Pm.upf
Nd 144.24 Nd.upf
Cu 63.55 Cu.upf
Sn 118.71 Sn.upf
CELL_PARAMETERS angstrom
7.500 0.000 0.000
0.000 7.500 0.000
0.000 0.000 7.500
ATOMIC_POSITIONS crystal
Pm 0.000 0.000 0.000
Pm 0.000 0.500 0.500
Pm 0.500 0.000 0.500
Pm 0.500 0.500 0.000
Nd 0.000 0.000 0.500
Nd 0.000 0.500 0.000
Nd 0.500 0.000 0.000
Nd 0.500 0.500 0.500
Cu 0.250 0.250 0.750
Cu 0.250 0.750 0.250
Cu 0.750 0.250 0.250
Cu 0.750 0.750 0.750
Sn 0.250 0.250 0.250
Sn 0.250 0.750 0.750
Sn 0.750 0.250 0.750
Sn 0.750 0.750 0.250

---

[4]
! TbPmNdCu (PBE, relaxed); values from VASP
! Total magnetic moment = 0.000 μB/cell
! Uncorrected energy = -4.642 eV per atom
! Calculated formation energy = -0.0812 eV per atom
! Symmetry = No. 99
&SYSTEM
  ibrav = 0, nat = 4, ntyp = 4
/
ATOMIC_SPECIES
Tb 158.93 Tb.upf
Pm 145.00 Pm.upf
Nd 144.24 Nd.upf
Cu 63.55 Cu.upf
CELL_PARAMETERS angstrom
3.581 0.000 0.000
0.000 3.581 0.000
0.000 0.000 8.753
ATOMIC_POSITIONS crystal
Tb 0.000 0.000 0.000
Pm 0.000 0.000 0.388
Nd 0.500 0.500 0.697
Cu 0.500 0.500 0.184

---

[5]
! PmNdCuTc (PBE, relaxed); values from VASP
! Total magnetic moment = 0.000 μB/cell
! Uncorrected energy = -5.944 eV per atom
! Calculated formation energy = 0.0513 eV per atom
! Symmetry = No. 216
&SYSTEM
  ibrav = 0, nat = 16, ntyp = 4
/
ATOMIC_SPECIES
Pm 145.00 Pm.upf
Nd 144.24 Nd.upf
Cu 63.55 Cu.upf
Tc 98.00 Tc.upf
CELL_PARAMETERS angstrom
7.089 0.000 0.000
0.000 7.089 0.000
0.000 0.000 7.089
ATOMIC_POSITIONS crystal
Pm 0.000 0.000 0.000
Pm 0.000 0.500 0.500
Pm 0.500 0.000 0.500
Pm 0.500 0.500 0.000
Nd 0.000 0.000 0.500
Nd 0.000 0.500 0.000
Nd 0.500 0.000 0.000
Nd 0.500 0.500 0.500
Cu 0.250 0.250 0.250
Cu 0.250 0.750 0.750
Cu 0.750 0.250 0.750
Cu 0.750 0.750 0.250
Tc 0.250 0.250 0.750
Tc 0.250 0.750 0.250
Tc 0.750 0.250 0.250
Tc 0.750 0.750 0.750

---

[6]
! Pm2NdCuTe5 (PBE, relaxed); values from VASP
! Total magnetic moment = 0.000 μB/cell
! ΔE_f (raw) = -1.184 eV per atom
! Uncorrected energy = -4.970 eV per atom
! Symmetry = No. 36
&SYSTEM
  ibrav = 0, nat = 18, ntyp = 4
/
ATOMIC_SPECIES
Pm 145.00 Pm.upf
Nd 144.24 Nd.upf
Cu 63.55 Cu.upf
Te 127.60 Te.upf
CELL_PARAMETERS angstrom
2.160 -9.666 0.000
2.160 9.666 0.000
0.000 0.000 13.045
ATOMIC_POSITIONS crystal
Pm 0.108 0.892 0.500
Pm 0.121 0.879 0.123
Pm 0.879 0.121 0.623
Pm 0.892 0.108 0.000
Nd 0.192 0.808 0.826
Nd 0.808 0.192 0.326
Cu 0.430 0.570 0.274
Cu 0.570 0.430 0.774
Te 0.040 0.960 0.881
Te 0.288 0.712 0.497
Te 0.318 0.682 0.154
Te 0.358 0.642 0.816
Te 0.500 0.500 0.102
Te 0.500 0.500 0.602
Te 0.642 0.358 0.316
Te 0.682 0.318 0.654
Te 0.712 0.288 0.997
Te 0.960 0.040 0.381

---

[7]
! PmNdZnCu (PBE, relaxed); values from VASP
! Total magnetic moment = 0.000 μB/cell
! Offset from the most stable computed form = 0.00 eV per formula unit
! Uncorrected energy = -3.953 eV per atom
! Calculated formation energy = -0.2309 eV per atom
! Symmetry = No. 99
&SYSTEM
  ibrav = 0, nat = 4, ntyp = 4
/
ATOMIC_SPECIES
Pm 145.00 Pm.upf
Nd 144.24 Nd.upf
Zn 65.41 Zn.upf
Cu 63.55 Cu.upf
CELL_PARAMETERS angstrom
3.634 0.000 0.000
0.000 3.634 0.000
0.000 0.000 7.233
ATOMIC_POSITIONS crystal
Pm 0.000 0.000 0.000
Nd 0.000 0.000 0.511
Zn 0.500 0.500 0.252
Cu 0.500 0.500 0.761

---

[8]
! PmNdZnCu (PBE, relaxed); values from VASP
! Total magnetic moment = 0.006 μB/cell
! Offset from the most stable computed form = 0.04 eV per formula unit
! Uncorrected energy = -3.944 eV per atom
! Calculated formation energy = -0.2218 eV per atom
! Symmetry = No. 216
&SYSTEM
  ibrav = 0, nat = 16, ntyp = 4
/
ATOMIC_SPECIES
Pm 145.00 Pm.upf
Nd 144.24 Nd.upf
Zn 65.41 Zn.upf
Cu 63.55 Cu.upf
CELL_PARAMETERS angstrom
7.264 0.000 0.000
0.000 7.264 0.000
0.000 0.000 7.264
ATOMIC_POSITIONS crystal
Pm 0.000 0.000 0.000
Pm 0.000 0.500 0.500
Pm 0.500 0.000 0.500
Pm 0.500 0.500 0.000
Nd 0.000 0.000 0.500
Nd 0.000 0.500 0.000
Nd 0.500 0.000 0.000
Nd 0.500 0.500 0.500
Zn 0.250 0.250 0.250
Zn 0.250 0.750 0.750
Zn 0.750 0.250 0.750
Zn 0.750 0.750 0.250
Cu 0.250 0.250 0.750
Cu 0.250 0.750 0.250
Cu 0.750 0.250 0.250
Cu 0.750 0.750 0.750

---

[9]
! Pr2NdCu (PBE, relaxed); values from VASP
! Total magnetic moment = 0.000 μB/cell
! Offset from the most stable computed form = 0.44 eV per formula unit
! Uncorrected energy = -4.547 eV per atom
! Calculated formation energy = 0.0583 eV per atom
! Symmetry = No. 166
&SYSTEM
  ibrav = 0, nat = 12, ntyp = 3
/
ATOMIC_SPECIES
Pr 140.91 Pr.upf
Nd 144.24 Nd.upf
Cu 63.55 Cu.upf
CELL_PARAMETERS angstrom
3.728 0.000 0.000
-1.864 3.229 0.000
0.000 0.000 30.795
ATOMIC_POSITIONS crystal
Pr 0.000 0.000 0.235
Pr 0.000 0.000 0.765
Pr 0.333 0.667 0.432
Pr 0.333 0.667 0.901
Pr 0.667 0.333 0.099
Pr 0.667 0.333 0.568
Nd 0.000 0.000 0.000
Nd 0.333 0.667 0.667
Nd 0.667 0.333 0.333
Cu 0.000 0.000 0.500
Cu 0.333 0.667 0.167
Cu 0.667 0.333 0.833

---

[10]
! PrNdCu2 (PBE, relaxed); values from VASP
! Total magnetic moment = 0.000 μB/cell
! Offset from the most stable computed form = 0.15 eV per formula unit
! Uncorrected energy = -4.566 eV per atom
! Calculated formation energy = -0.1316 eV per atom
! Symmetry = No. 123
&SYSTEM
  ibrav = 0, nat = 4, ntyp = 3
/
ATOMIC_SPECIES
Pr 140.91 Pr.upf
Nd 144.24 Nd.upf
Cu 63.55 Cu.upf
CELL_PARAMETERS angstrom
3.602 0.000 0.000
0.000 3.602 0.000
0.000 0.000 7.213
ATOMIC_POSITIONS crystal
Pr 0.000 0.000 0.000
Nd 0.000 0.000 0.500
Cu 0.500 0.500 0.255
Cu 0.500 0.500 0.745

---

[11]
! Pr2Nd3Cu2 (PBE, relaxed); values from VASP
! Total magnetic moment = 0.000 μB/cell
! Uncorrected energy = -4.652 eV per atom
! Calculated formation energy = -0.0731 eV per atom
! Symmetry = No. 12
&SYSTEM
  ibrav = 0, nat = 14, ntyp = 3
/
ATOMIC_SPECIES
Pr 140.91 Pr.upf
Nd 144.24 Nd.upf
Cu 63.55 Cu.upf
CELL_PARAMETERS angstrom
12.690 0.000 0.000
0.000 3.806 0.000
-4.102 0.000 8.400
ATOMIC_POSITIONS crystal
Pr 0.158 0.000 0.313
Pr 0.342 0.500 0.687
Pr 0.658 0.500 0.313
Pr 0.842 0.000 0.687
Nd 0.000 0.500 0.500
Nd 0.115 0.500 0.942
Nd 0.385 0.000 0.058
Nd 0.500 0.000 0.500
Nd 0.615 0.000 0.942
Nd 0.885 0.500 0.058
Cu 0.165 0.000 0.729
Cu 0.335 0.500 0.271
Cu 0.665 0.500 0.729
Cu 0.835 0.000 0.271

---

[12]
! Pr2NdCu (PBE, relaxed); values from VASP
! Total magnetic moment = 0.000 μB/cell
! Offset from the most stable computed form = 0.04 eV per formula unit
! Uncorrected energy = -4.648 eV per atom
! Calculated formation energy = -0.0419 eV per atom
! Symmetry = No. 123
&SYSTEM
  ibrav = 0, nat = 4, ntyp = 3
/
ATOMIC_SPECIES
Pr 140.91 Pr.upf
Nd 144.24 Nd.upf
Cu 63.55 Cu.upf
CELL_PARAMETERS angstrom
3.667 0.000 0.000
0.000 3.667 0.000
0.000 0.000 8.867
ATOMIC_POSITIONS crystal
Pr 0.000 0.000 0.198
Pr 0.000 0.000 0.802
Nd 0.500 0.500 0.500
Cu 0.500 0.500 0.000

---

[13]
! PrNdCu2 (PBE, relaxed); values from VASP
! Total magnetic moment = 0.000 μB/cell
! Offset from the most stable computed form = 0.17 eV per formula unit
! Uncorrected energy = -4.561 eV per atom
! Calculated formation energy = -0.1261 eV per atom
! Symmetry = No. 225
&SYSTEM
  ibrav = 0, nat = 16, ntyp = 3
/
ATOMIC_SPECIES
Pr 140.91 Pr.upf
Nd 144.24 Nd.upf
Cu 63.55 Cu.upf
CELL_PARAMETERS angstrom
7.213 0.000 0.000
0.000 7.213 0.000
0.000 0.000 7.213
ATOMIC_POSITIONS crystal
Pr 0.000 0.000 0.000
Pr 0.000 0.500 0.500
Pr 0.500 0.000 0.500
Pr 0.500 0.500 0.000
Nd 0.000 0.000 0.500
Nd 0.000 0.500 0.000
Nd 0.500 0.000 0.000
Nd 0.500 0.500 0.500
Cu 0.250 0.250 0.250
Cu 0.250 0.250 0.750
Cu 0.250 0.750 0.250
Cu 0.250 0.750 0.750
Cu 0.750 0.250 0.250
Cu 0.750 0.250 0.750
Cu 0.750 0.750 0.250
Cu 0.750 0.750 0.750

---

[14]
! Pr2NdCu (PBE, relaxed); values from VASP
! Total magnetic moment = 0.000 μB/cell
! Offset from the most stable computed form = 0.06 eV per formula unit
! Uncorrected energy = -4.642 eV per atom
! Calculated formation energy = -0.0363 eV per atom
! Symmetry = No. 11
&SYSTEM
  ibrav = 0, nat = 8, ntyp = 3
/
ATOMIC_SPECIES
Pr 140.91 Pr.upf
Nd 144.24 Nd.upf
Cu 63.55 Cu.upf
CELL_PARAMETERS angstrom
5.047 0.000 0.000
0.000 7.822 0.000
-2.509 0.000 6.014
ATOMIC_POSITIONS crystal
Pr 0.145 0.029 0.291
Pr 0.145 0.471 0.291
Pr 0.855 0.529 0.709
Pr 0.855 0.971 0.709
Nd 0.453 0.250 0.905
Nd 0.547 0.750 0.095
Cu 0.300 0.750 0.600
Cu 0.700 0.250 0.400

---

[15]
! Pr2NdCu6 (PBE, relaxed); values from VASP
! Total magnetic moment = 0.000 μB/cell
! Uncorrected energy = -4.533 eV per atom
! Calculated formation energy = -0.2105 eV per atom
! Symmetry = No. 191
&SYSTEM
  ibrav = 0, nat = 9, ntyp = 3
/
ATOMIC_SPECIES
Pr 140.91 Pr.upf
Nd 144.24 Nd.upf
Cu 63.55 Cu.upf
CELL_PARAMETERS angstrom
7.443 0.000 0.000
-3.721 6.446 0.000
0.000 0.000 3.792
ATOMIC_POSITIONS crystal
Pr 0.333 0.667 0.000
Pr 0.667 0.333 0.000
Nd 0.000 0.000 0.000
Cu 0.000 0.333 0.500
Cu 0.000 0.667 0.500
Cu 0.333 0.000 0.500
Cu 0.333 0.333 0.500
Cu 0.667 0.000 0.500
Cu 0.667 0.667 0.500

---

[16]
! Pr2NdCu (PBE, relaxed); values from VASP
! Total magnetic moment = 0.000 μB/cell
! Offset from the most stable computed form = 0.00 eV per formula unit
! Uncorrected energy = -4.658 eV per atom
! Calculated formation energy = -0.0524 eV per atom
! Symmetry = No. 62
&SYSTEM
  ibrav = 0, nat = 16, ntyp = 3
/
ATOMIC_SPECIES
Pr 140.91 Pr.upf
Nd 144.24 Nd.upf
Cu 63.55 Cu.upf
CELL_PARAMETERS angstrom
7.102 0.000 0.000
0.000 10.262 0.000
0.000 0.000 6.631
ATOMIC_POSITIONS crystal
Pr 0.193 0.058 0.173
Pr 0.193 0.442 0.173
Pr 0.307 0.558 0.673
Pr 0.307 0.942 0.673
Pr 0.693 0.058 0.327
Pr 0.693 0.442 0.327
Pr 0.807 0.558 0.827
Pr 0.807 0.942 0.827
Nd 0.024 0.250 0.642
Nd 0.476 0.750 0.142
Nd 0.524 0.250 0.858
Nd 0.976 0.750 0.358
Cu 0.102 0.750 0.931
Cu 0.398 0.250 0.431
Cu 0.602 0.750 0.569
Cu 0.898 0.250 0.069

---

[17]
! Pr4NdCu (PBE, relaxed); values from VASP
! Total magnetic moment = 0.000 μB/cell
! Uncorrected energy = -4.687 eV per atom
! Calculated formation energy = -0.0236 eV per atom
! Symmetry = No. 123
&SYSTEM
  ibrav = 0, nat = 6, ntyp = 3
/
ATOMIC_SPECIES
Pr 140.91 Pr.upf
Nd 144.24 Nd.upf
Cu 63.55 Cu.upf
CELL_PARAMETERS angstrom
3.681 0.000 0.000
0.000 3.681 0.000
0.000 0.000 14.147
ATOMIC_POSITIONS crystal
Pr 0.000 0.000 0.123
Pr 0.000 0.000 0.877
Pr 0.500 0.500 0.315
Pr 0.500 0.500 0.685
Nd 0.000 0.000 0.500
Cu 0.500 0.500 0.000

---

[18]
! Pr3Nd2Cu2 (PBE, relaxed); values from VASP
! Total magnetic moment = 0.000 μB/cell
! Uncorrected energy = -4.649 eV per atom
! Calculated formation energy = -0.0682 eV per atom
! Symmetry = No. 12
&SYSTEM
  ibrav = 0, nat = 14, ntyp = 3
/
ATOMIC_SPECIES
Pr 140.91 Pr.upf
Nd 144.24 Nd.upf
Cu 63.55 Cu.upf
CELL_PARAMETERS angstrom
12.643 0.000 0.000
0.000 3.820 0.000
-4.023 0.000 8.444
ATOMIC_POSITIONS crystal
Pr 0.000 0.000 0.000
Pr 0.114 0.000 0.440
Pr 0.386 0.500 0.560
Pr 0.500 0.500 0.000
Pr 0.614 0.500 0.440
Pr 0.886 0.000 0.560
Nd 0.159 0.500 0.813
Nd 0.341 0.000 0.187
Nd 0.659 0.000 0.813
Nd 0.841 0.500 0.187
Cu 0.167 0.500 0.226
Cu 0.333 0.000 0.774
Cu 0.667 0.000 0.226
Cu 0.833 0.500 0.774

---

[19]
! PrNdCu10 (PBE, relaxed); values from VASP
! Total magnetic moment = 0.000 μB/cell
! Uncorrected energy = -4.367 eV per atom
! Calculated formation energy = -0.1579 eV per atom
! Symmetry = No. 47
&SYSTEM
  ibrav = 0, nat = 12, ntyp = 3
/
ATOMIC_SPECIES
Pr 140.91 Pr.upf
Nd 144.24 Nd.upf
Cu 63.55 Cu.upf
CELL_PARAMETERS angstrom
4.125 0.000 0.000
0.000 5.150 0.000
0.000 0.000 8.843
ATOMIC_POSITIONS crystal
Pr 0.000 0.000 0.000
Nd 0.000 0.500 0.500
Cu 0.000 0.000 0.335
Cu 0.000 0.000 0.665
Cu 0.000 0.500 0.167
Cu 0.000 0.500 0.833
Cu 0.500 0.000 0.500
Cu 0.500 0.250 0.251
Cu 0.500 0.250 0.749
Cu 0.500 0.500 0.000
Cu 0.500 0.750 0.251
Cu 0.500 0.750 0.749

---

[20]
! Pr4Nd3Cu4 (PBE, relaxed); values from VASP
! Total magnetic moment = 0.000 μB/cell
! Uncorrected energy = -4.557 eV per atom
! Calculated formation energy = -0.0295 eV per atom
! Symmetry = No. 71
&SYSTEM
  ibrav = 0, nat = 11, ntyp = 3
/
ATOMIC_SPECIES
Pr 140.91 Pr.upf
Nd 144.24 Nd.upf
Cu 63.55 Cu.upf
CELL_PARAMETERS angstrom
-2.491 3.803 7.854
2.491 -3.803 7.854
2.491 3.803 -7.854
ATOMIC_POSITIONS crystal
Pr 0.050 0.830 0.221
Pr 0.391 0.170 0.221
Pr 0.609 0.830 0.779
Pr 0.950 0.170 0.779
Nd 0.000 0.500 0.500
Nd 0.399 0.399 0.000
Nd 0.601 0.601 0.000
Cu 0.200 0.700 0.500
Cu 0.338 0.000 0.338
Cu 0.662 0.000 0.662
Cu 0.800 0.300 0.500